1.
{"formula": "LiPtN", "functional": "PBE-GGA", "state": "relaxed", "lattice_angstrom": [[3.6758, -0.8309, 0.3199], [-0.8562, 4.9586, 0.9545], [0.1172, 2.5942, 5.3924]], "species": ["Pt", "Pt", "N", "N", "Li", "Li"], "frac_coords": [[0.5000, 0.0000, 0.2087], [0.5000, 0.0000, 0.7913], [0.8392, 0.0006, 0.4997], [0.1608, 0.9994, 0.5003], [0.8036, 0.5981, 0.2010], [0.1964, 0.4019, 0.7990]], "de_polymorph_mev_per_atom": 119.5, "crystal_system": "monoclinic", "e_tot_ev_per_atom": -5.442, "formation_energy_uncorrected_ev_per_atom": -0.02, "spacegroup": "C2/m (12)"}

---

2.
{"formula": "Li4PtN2", "functional": "PBE-GGA", "state": "relaxed", "lattice_angstrom": [[3.6351, 0.0000, 0.8098], [1.7274, 3.1985, 0.8098], [0.3779, 0.2254, 6.8676]], "species": ["Li", "Li", "Li", "Li", "N", "N", "Pt"], "frac_coords": [[0.7997, 0.7997, 0.6010], [0.2003, 0.2003, 0.3990], [0.4045, 0.4045, 0.7864], [0.5955, 0.5955, 0.2136], [0.0984, 0.0984, 0.7047], [0.9016, 0.9016, 0.2953], [0.0000, 0.0000, 0.0000]], "crystal_system": "trigonal", "e_tot_ev_per_atom": -4.644, "formation_energy_uncorrected_ev_per_atom": -0.31, "spacegroup": "R-3m (166)"}

---

3.
{"formula": "LiPtN2", "functional": "PBE-GGA", "state": "relaxed", "lattice_angstrom": [[-0.5741, 3.4398, -3.1929], [-4.3541, -1.5909, -0.9310], [-4.1461, 3.6393, 1.1652]], "species": ["Pt", "Pt", "Li", "Li", "N", "N", "N", "N"], "frac_coords": [[0.0000, 0.0000, 0.0000], [0.7500, 0.2500, 0.5000], [0.5000, 0.5000, 0.0000], [0.2500, 0.7500, 0.5000], [0.0999, 0.6250, 0.2500], [0.6501, 0.1250, 0.2500], [0.8750, 0.9001, 0.7500], [0.3750, 0.3499, 0.7500]], "de_polymorph_mev_per_atom": 5.9, "crystal_system": "tetragonal", "e_tot_ev_per_atom": -5.598, "formation_energy_uncorrected_ev_per_atom": 0.55, "spacegroup": "I-42d (122)"}

---

4.
{"formula": "LiPtN2", "functional": "PBE-GGA", "state": "relaxed", "lattice_angstrom": [[-0.8981, 5.2388, 3.6057], [0.8520, 3.3666, 5.4031], [2.2023, 5.1212, 3.1901]], "species": ["Li", "N", "N", "Pt"], "frac_coords": [[0.5000, 0.5000, 0.5000], [0.0967, 0.0967, 0.0967], [0.9033, 0.9033, 0.9033], [0.0000, 0.0000, 0.0000]], "de_polymorph_mev_per_atom": 388.2, "crystal_system": "trigonal", "e_tot_ev_per_atom": -5.216, "formation_energy_uncorrected_ev_per_atom": 0.94, "spacegroup": "R-3m (166)"}

---

Calculated D(E_F) in order - 2.4; 3.7; 3.4; 2.1 states/eV/cell